# 1
{"formula": "BaMnN2O", "functional": "SCAN", "state": "PBEsol geometry", "dos_at_fermi_per_ev_atom": 0.4229, "dft_energy_ha_per_atom": -0.55439, "lattice": [[4.528, 0.000, 0.000], [0.000, 4.528, 0.000], [0.000, 0.000, 4.399]], "species": ["Ba", "Mn", "N", "N", "O"], "fractional_positions": [[0.000, 0.000, 0.000], [0.500, 0.500, 0.500], [0.000, 0.500, 0.000], [0.500, 0.000, 0.000], [0.000, 0.000, 0.500]]}

# 2
{"formula": "Ba2MnRhN", "functional": "SCAN", "state": "PBEsol geometry", "dos_at_fermi_per_ev_atom": 0.7391, "dft_energy_ha_per_atom": -1.01116, "lattice": [[5.767, 0.000, 0.000], [0.000, 5.767, 0.000], [0.000, 0.000, 4.643]], "species": ["Ba", "Ba", "Mn", "Rh", "N"], "fractional_positions": [[0.000, 0.500, 0.000], [0.500, 0.000, 0.000], [0.000, 0.000, 0.500], [0.000, 0.000, 0.000], [0.500, 0.500, 0.500]]}

# 3
{"formula": "BaMnTe2N", "functional": "SCAN", "state": "PBEsol geometry", "dos_at_fermi_per_ev_atom": 0.2660, "dft_energy_ha_per_atom": -1.06274, "lattice": [[5.723, 0.000, 0.000], [0.000, 5.723, 0.000], [0.000, 0.000, 3.603]], "species": ["Ba", "Mn", "Te", "Te", "N"], "fractional_positions": [[0.000, 0.000, 0.000], [0.500, 0.500, 0.500], [0.000, 0.500, 0.500], [0.500, 0.000, 0.500], [0.500, 0.500, 0.000]]}

# 4
{"formula": "Ba4NaMn2O9", "functional": "SCAN", "state": "PBEsol geometry", "dos_at_fermi_per_ev_atom": 0.5673, "dft_energy_ha_per_atom": -0.67975, "lattice": [[9.961, 0.000, 0.000], [-4.981, 8.627, 0.000], [0.000, 0.000, 8.209]], "species": ["Ba", "Ba", "Ba", "Ba", "Ba", "Ba", "Ba", "Ba", "Ba", "Ba", "Ba", "Ba", "Na", "Na", "Na", "Mn", "Mn", "Mn", "Mn", "Mn", "Mn", "O", "O", "O", "O", "O", "O", "O", "O", "O", "O", "O", "O", "O", "O", "O", "O", "O", "O", "O", "O", "O", "O", "O", "O", "O", "O", "O"], "fractional_positions": [[0.000, 0.645, 0.000], [0.000, 0.674, 0.500], [0.024, 0.337, 0.255], [0.313, 0.976, 0.255], [0.326, 0.326, 0.500], [0.337, 0.024, 0.745], [0.355, 0.355, 0.000], [0.645, 0.000, 0.000], [0.663, 0.687, 0.255], [0.674, 0.000, 0.500], [0.687, 0.663, 0.745], [0.976, 0.313, 0.745], [0.000, 0.000, 0.000], [0.333, 0.667, 0.754], [0.667, 0.333, 0.246], [0.000, 0.000, 0.339], [0.000, 0.000, 0.661], [0.333, 0.667, 0.092], [0.333, 0.667, 0.418], [0.667, 0.333, 0.582], [0.667, 0.333, 0.908], [0.000, 0.144, 0.500], [0.008, 0.846, 0.779], [0.144, 0.000, 0.500], [0.154, 0.162, 0.779], [0.162, 0.154, 0.221], [0.182, 0.510, 0.532], [0.182, 0.656, 0.254], [0.183, 0.505, 0.973], [0.322, 0.817, 0.973], [0.328, 0.818, 0.532], [0.344, 0.525, 0.254], [0.475, 0.818, 0.254], [0.490, 0.672, 0.532], [0.495, 0.678, 0.973], [0.505, 0.183, 0.027], [0.510, 0.182, 0.468], [0.525, 0.344, 0.746], [0.656, 0.182, 0.746], [0.672, 0.490, 0.468], [0.678, 0.495, 0.027], [0.817, 0.322, 0.027], [0.818, 0.328, 0.468], [0.818, 0.475, 0.746], [0.838, 0.992, 0.779], [0.846, 0.008, 0.221], [0.856, 0.856, 0.500], [0.992, 0.838, 0.221]]}

# 5
{"formula": "BaNa2SrMn", "functional": "SCAN", "state": "PBEsol geometry", "dos_at_fermi_per_ev_atom": 1.1565, "e_form_ev_per_atom": 1.0074, "lattice": [[6.159, 0.000, 0.000], [0.000, 6.159, 0.000], [0.000, 0.000, 6.994]], "species": ["Ba", "Na", "Na", "Sr", "Mn"], "fractional_positions": [[0.000, 0.000, 0.000], [0.000, 0.500, 0.500], [0.500, 0.000, 0.500], [0.000, 0.000, 0.500], [0.500, 0.500, 0.000]]}

# 6
{"formula": "Ba2NaZrMn", "functional": "SCAN", "state": "PBEsol geometry", "dos_at_fermi_per_ev_atom": 1.1136, "e_form_ev_per_atom": 1.1026, "lattice": [[6.005, 0.000, 0.000], [0.000, 6.005, 0.000], [0.000, 0.000, 5.057]], "species": ["Ba", "Ba", "Na", "Zr", "Mn"], "fractional_positions": [[0.000, 0.500, 0.000], [0.500, 0.000, 0.000], [0.000, 0.000, 0.000], [0.500, 0.500, 0.500], [0.000, 0.000, 0.500]]}

- Which formula does entry 3 have?
  BaMnTe2N